Record 1
Material: Ge2PdF
Method: DFT, GGA-PBE
State: relaxed

Output
Uncorrected energy in eV/atom: -4.5429
Fermi-level density of states in states/eV per cell: 2.06
Formation energy from raw total energies in meV per atom: -468
Energy above the lowest structure with this stoichiometry in meV/atom: 106
Total moment in μB per cell: 0.000

Unit cell a=7.284 b=7.284 c=7.284 alpha=139.74 beta=139.74 gamma=58.25
Sites, in units of the cell vectors:
Ge (0.098, 0.625, 0.973)
Ge (0.375, 0.348, 0.473)
Ge (0.652, 0.125, 0.027)
Ge (0.875, 0.902, 0.527)
Pd (0.250, 0.750, 0.500)
Pd (0.500, 0.500, 0.000)
F (0.000, 0.000, 0.000)
F (0.750, 0.250, 0.500)

Record 2
Material: GePd2F
Method: DFT, GGA-PBE
State: relaxed

Output
Uncorrected energy in eV/atom: -4.8880
Fermi-level density of states in states/eV per cell: 0.92
Formation energy from raw total energies in meV per atom: -669
Energy above the lowest structure with this stoichiometry in meV/atom: 0
Total moment in μB per cell: 0.000

Unit cell a=4.283 b=4.283 c=4.283 alpha=60.00 beta=60.00 gamma=60.00
Sites, in units of the cell vectors:
Ge (0.000, 0.000, 0.000)
Pd (0.250, 0.250, 0.250)
Pd (0.750, 0.750, 0.750)
F (0.500, 0.500, 0.500)

Record 3
Material: Rb2GePdF6
Method: DFT, GGA-PBE
State: relaxed

Output
Uncorrected energy in eV/atom: -4.4391
Fermi-level density of states in states/eV per cell: 3.02
Formation energy from raw total energies in meV per atom: -2142
Total moment in μB per cell: 0.035

Unit cell a=6.275 b=6.275 c=6.275 alpha=118.63 beta=118.63 gamma=92.39
Sites, in units of the cell vectors:
Rb (0.250, 0.750, 0.500)
Rb (0.750, 0.250, 0.500)
Ge (0.000, 0.000, 0.000)
Pd (0.500, 0.500, 0.000)
F (0.208, 0.208, 0.416)
F (0.208, 0.792, 0.000)
F (0.219, 0.219, 0.000)
F (0.781, 0.781, 0.000)
F (0.792, 0.208, 0.000)
F (0.792, 0.792, 0.584)

Record 4
Material: RbGePdF6
Method: DFT, GGA-PBE
State: relaxed

Output
Uncorrected energy in eV/atom: -4.5774
Fermi-level density of states in states/eV per cell: 0.34
Formation energy from raw total energies in meV per atom: -2132
Total moment in μB per cell: 1.000

Unit cell a=5.498 b=5.851 c=5.944 alpha=119.27 beta=91.00 gamma=90.21
Sites, in units of the cell vectors:
Rb (0.000, 0.000, 0.000)
Ge (0.505, 0.323, 0.671)
Pd (0.503, 0.672, 0.314)
F (0.264, 0.101, 0.465)
F (0.342, 0.609, 0.711)
F (0.347, 0.343, 0.960)
F (0.664, 0.298, 0.394)
F (0.666, 0.025, 0.637)
F (0.749, 0.523, 0.892)

Record 5
Material: GePd2RhF
Method: DFT, GGA-PBE
State: relaxed

Output
Uncorrected energy in eV/atom: -4.5362
Fermi-level density of states in states/eV per cell: 5.68
Formation energy from raw total energies in meV per atom: 309
Total moment in μB per cell: 0.001

Unit cell a=4.954 b=4.954 c=3.849 alpha=90.00 beta=90.00 gamma=90.00
Sites, in units of the cell vectors:
Ge (0.000, 0.000, 0.000)
Pd (0.000, 0.500, 0.500)
Pd (0.500, 0.000, 0.500)
Rh (0.500, 0.500, 0.500)
F (0.500, 0.500, 0.000)

Record 6
Material: GeSbPdF2
Method: DFT, GGA-PBE
State: relaxed

Output
Uncorrected energy in eV/atom: -4.3243
Fermi-level density of states in states/eV per cell: 1.50
Formation energy from raw total energies in meV per atom: -789
Total moment in μB per cell: 0.000

Unit cell a=4.164 b=4.164 c=5.843 alpha=90.00 beta=90.00 gamma=90.00
Sites, in units of the cell vectors:
Ge (0.000, 0.000, 0.000)
Sb (0.000, 0.000, 0.500)
Pd (0.500, 0.500, 0.000)
F (0.000, 0.500, 0.500)
F (0.500, 0.000, 0.500)

Record 7
Material: GePd2SeF
Method: DFT, GGA-PBE
State: relaxed

Output
Uncorrected energy in eV/atom: -3.9832
Fermi-level density of states in states/eV per cell: 2.99
Formation energy from raw total energies in meV per atom: 89
Total moment in μB per cell: 0.000

Unit cell a=4.662 b=4.662 c=5.358 alpha=90.00 beta=90.00 gamma=90.00
Sites, in units of the cell vectors:
Ge (0.000, 0.000, 0.000)
Pd (0.000, 0.500, 0.500)
Pd (0.500, 0.000, 0.500)
Se (0.000, 0.000, 0.500)
F (0.500, 0.500, 0.000)

Record 8
Material: SnGePd2F
Method: DFT, GGA-PBE
State: relaxed

Output
Uncorrected energy in eV/atom: -4.2530
Fermi-level density of states in states/eV per cell: 3.30
Formation energy from raw total energies in meV per atom: -78
Total moment in μB per cell: 0.000

Unit cell a=4.656 b=4.656 c=4.217 alpha=90.00 beta=90.00 gamma=90.00
Sites, in units of the cell vectors:
Sn (0.000, 0.000, 0.000)
Ge (0.500, 0.500, 0.000)
Pd (0.000, 0.500, 0.500)
Pd (0.500, 0.000, 0.500)
F (0.500, 0.500, 0.500)

Record 9
Material: TlGePdF6
Method: DFT, GGA-PBE
State: relaxed

Output
Uncorrected energy in eV/atom: -4.4878
Fermi-level density of states in states/eV per cell: 0.30
Formation energy from raw total energies in meV per atom: -1887
Total moment in μB per cell: 1.000

Unit cell a=5.432 b=5.768 c=5.980 alpha=118.09 beta=91.39 gamma=90.60
Sites, in units of the cell vectors:
Tl (0.000, 0.000, 0.000)
Ge (0.493, 0.659, 0.338)
Pd (0.491, 0.364, 0.701)
F (0.245, 0.642, 0.120)
F (0.324, 0.394, 0.378)
F (0.337, 0.913, 0.609)
F (0.647, 0.391, 0.057)
F (0.664, 0.905, 0.295)
F (0.734, 0.640, 0.547)

Record 10
Material: YGe2PdF
Method: DFT, GGA-PBE
State: relaxed

Output
Uncorrected energy in eV/atom: -4.8881
Fermi-level density of states in states/eV per cell: 4.43
Formation energy from raw total energies in meV per atom: -336
Total moment in μB per cell: 0.000

Unit cell a=5.560 b=5.560 c=4.129 alpha=90.00 beta=90.00 gamma=90.00
Sites, in units of the cell vectors:
Y (0.000, 0.000, 0.000)
Ge (0.000, 0.500, 0.000)
Ge (0.500, 0.000, 0.000)
Pd (0.500, 0.500, 0.500)
F (0.000, 0.000, 0.500)

Record 11
Material: Zr2GePdF
Method: DFT, GGA-PBE
State: relaxed

Output
Uncorrected energy in eV/atom: -5.8814
Fermi-level density of states in states/eV per cell: 6.09
Formation energy from raw total energies in meV per atom: -126
Total moment in μB per cell: 0.000

Unit cell a=5.191 b=5.191 c=3.933 alpha=90.00 beta=90.00 gamma=90.00
Sites, in units of the cell vectors:
Zr (0.000, 0.500, 0.000)
Zr (0.500, 0.000, 0.000)
Ge (0.000, 0.000, 0.000)
Pd (0.500, 0.500, 0.500)
F (0.000, 0.000, 0.500)

Record 12
Material: Pm3GeF
Method: DFT, GGA-PBE
State: relaxed

Output
Uncorrected energy in eV/atom: -5.4589
Fermi-level density of states in states/eV per cell: 16.62
Formation energy from raw total energies in meV per atom: -1311
Total moment in μB per cell: 0.000

Unit cell a=7.658 b=6.215 c=11.820 alpha=90.00 beta=112.37 gamma=90.00
Sites, in units of the cell vectors:
Pm (0.003, 0.046, 0.167)
Pm (0.003, 0.454, 0.667)
Pm (0.237, 0.060, 0.519)
Pm (0.237, 0.440, 0.019)
Pm (0.454, 0.149, 0.844)
Pm (0.454, 0.351, 0.344)
Pm (0.546, 0.649, 0.656)
Pm (0.546, 0.851, 0.156)
Pm (0.763, 0.560, 0.981)
Pm (0.763, 0.940, 0.481)
Pm (0.997, 0.546, 0.333)
Pm (0.997, 0.954, 0.833)
Ge (0.362, 0.680, 0.848)
Ge (0.362, 0.820, 0.348)
Ge (0.638, 0.180, 0.652)
Ge (0.638, 0.320, 0.152)
F (0.043, 0.721, 0.522)
F (0.043, 0.779, 0.022)
F (0.957, 0.221, 0.978)
F (0.957, 0.279, 0.478)